First-principles (PBE) data for NaMg4In6 after structural relaxation, as listed in Alexandria.

Unit cell a=8.5947 b=8.5947 c=4.6564 alpha=90.00 beta=90.00 gamma=120.00
Closest atoms and distances in Å follow each position.
Fractional coordinates of all 11 atoms:
Na: 0.0000 0.0000 0.0000  6 In 3.75, 6 Mg 3.85
Mg: 0.3333 0.6667 0.0000  9 In 2.95-3.09
Mg: 0.4120 0.2060 0.5000  6 In 3.00-3.04, 2 Mg 3.28
Mg: 0.7940 0.2060 0.5000  6 In 3.00-3.04, 2 Mg 3.28
Mg: 0.7940 0.5880 0.5000  6 In 3.00-3.04, 2 Mg 3.28
In: 0.1973 0.3946 0.5000  4 Mg 3.00-3.09
In: 0.1973 0.8027 0.5000  4 Mg 3.00-3.09
In: 0.5317 0.0635 0.0000  5 Mg 2.95-3.04
In: 0.5317 0.4683 0.0000  5 Mg 2.95-3.04
In: 0.6054 0.8027 0.5000  4 Mg 3.00-3.09
In: 0.9365 0.4683 0.0000  5 Mg 2.95-3.04

Properties
Symmetry = P-6m2, No. 187
Crystal system = hexagonal
ΔE_f = -0.005 eV/atom

=====

First-principles (PBE) data for Na3MgIn2 after structural relaxation, as listed in Alexandria.

Unit cell a=8.3103 b=8.3103 c=10.9303 alpha=130.41 beta=130.41 gamma=37.93
Closest atoms and distances in Å follow each position.
Fractional coordinates of all 12 atoms:
Na: 0.0994 0.0994 0.3093  4 In 3.15-3.47, 4 Na 3.35-3.41
Na: 0.1314 0.1314 0.7269  4 In 3.23-3.48, 3 Mg 3.32-3.39, 3 Na 3.37-3.46
Na: 0.3746 0.3746 0.4768  1 In 3.17, 1 Mg 3.31, 5 Na 3.35-3.46
Na: 0.6254 0.6254 0.5232  1 In 3.17, 1 Mg 3.31, 5 Na 3.35-3.46
Na: 0.8686 0.8686 0.2731  4 In 3.23-3.48, 3 Mg 3.32-3.39, 3 Na 3.37-3.46
Na: 0.9006 0.9006 0.6907  4 In 3.15-3.47, 4 Na 3.35-3.41
Mg: 0.3944 0.3944 0.1134  5 In 3.11-3.17, 4 Na 3.31-3.39
Mg: 0.6056 0.6056 0.8866  5 In 3.11-3.17, 4 Na 3.31-3.39
In: 0.1773 0.1773 0.0788  3 Mg 3.12-3.17, 6 Na 3.17-3.48, 2 In 3.27
In: 0.3708 0.3708 0.8071  2 Mg 3.11-3.16, 3 Na 3.15-3.23, 3 In 3.27-3.29
In: 0.6292 0.6292 0.1929  2 Mg 3.11-3.16, 3 Na 3.15-3.23, 3 In 3.27-3.29
In: 0.8227 0.8227 0.9212  3 Mg 3.12-3.17, 6 Na 3.17-3.48, 2 In 3.27

Properties
Symmetry = C2/m, No. 12
Crystal system = monoclinic
ΔE_f = -0.043 eV/atom

=====

First-principles (PBE) data for Na2MgIn after structural relaxation, as listed in Alexandria.

Unit cell a=11.3180 b=11.3180 c=11.3180 alpha=17.34 beta=17.34 gamma=17.34
Closest atoms and distances in Å follow each position.
Fractional coordinates of all 4 atoms:
Na: 0.0000 0.0000 0.0000  3 In 3.38, 6 Na 3.41, 3 Mg 3.44
Na: 0.1690 0.1690 0.1690  3 In 3.38, 6 Na 3.41, 3 Mg 3.45
Mg: 0.7511 0.7511 0.7511  6 Mg 3.41, 6 Na 3.44-3.45
In: 0.5846 0.5846 0.5846  6 Na 3.38, 6 In 3.41

Properties
Symmetry = R3m, No. 160
Crystal system = trigonal
ΔE_f = 0.036 eV/atom

=====

First-principles (PBE) data for NaMg2In6 after structural relaxation, as listed in Alexandria.

Unit cell a=9.1809 b=9.1809 c=9.1809 alpha=159.23 beta=122.60 gamma=61.72
Closest atoms and distances in Å follow each position.
Fractional coordinates of all 9 atoms:
Na: 0.0000 0.0000 0.0000  2 Na 3.31, 12 In 3.33-3.57
Mg: 0.3529 0.8529 0.5000  10 In 3.19-3.34, 2 Mg 3.31
Mg: 0.6471 0.1471 0.5000  10 In 3.19-3.34, 2 Mg 3.31
In: 0.0010 0.6756 0.3254  6 In 3.08-3.31, 3 Mg 3.19-3.34
In: 0.3276 0.5000 0.8276  5 In 3.04-3.31, 4 Mg 3.23, 2 Na 3.33
In: 0.3503 0.6756 0.6746  6 In 3.08-3.31, 3 Mg 3.19-3.34
In: 0.6497 0.3244 0.3254  6 In 3.08-3.31, 3 Mg 3.19-3.34
In: 0.6724 0.5000 0.1724  5 In 3.04-3.31, 4 Mg 3.23, 2 Na 3.33
In: 0.9990 0.3244 0.6746  6 In 3.08-3.31, 3 Mg 3.19-3.34

Properties
Symmetry = Immm, No. 71
Crystal system = orthorhombic
ΔE_f = -0.057 eV/atom

=====

First-principles (PBE) data for Na2MgIn2 after structural relaxation, as listed in Alexandria.

Unit cell a=8.7826 b=8.7826 c=5.9139 alpha=90.00 beta=90.00 gamma=138.42
Closest atoms and distances in Å follow each position.
Fractional coordinates of all 10 atoms:
Na: 0.0715 0.9285 0.7500  6 In 3.46-3.63, 4 Mg 3.64, 4 Na 3.73-3.78
Na: 0.3038 0.6962 0.2500  6 In 3.26-3.53, 2 Mg 3.54
Na: 0.6962 0.3038 0.7500  6 In 3.26-3.53, 2 Mg 3.54
Na: 0.9285 0.0715 0.2500  6 In 3.46-3.63, 4 Mg 3.64, 4 Na 3.73-3.78
Mg: 0.5000 0.5000 0.0000  2 Mg 2.96, 4 In 3.03
Mg: 0.5000 0.5000 0.5000  2 Mg 2.96, 4 In 3.03
In: 0.1170 0.3750 0.7500  2 Mg 3.03, 2 In 3.07-3.17, 1 Na 3.26
In: 0.3750 0.1170 0.2500  2 Mg 3.03, 2 In 3.07-3.17, 1 Na 3.26
In: 0.6250 0.8830 0.7500  2 Mg 3.03, 2 In 3.07-3.17, 1 Na 3.26
In: 0.8830 0.6250 0.2500  2 Mg 3.03, 2 In 3.07-3.17, 1 Na 3.26

Properties
Polymorph energy (0 for the lowest one) = 0.32 eV per formula unit
Symmetry = Cmcm, No. 63
Crystal system = orthorhombic
ΔE_f = -0.010 eV/atom

=====

First-principles (PBE) data for Na2MgIn8 after structural relaxation, as listed in Alexandria.

Unit cell a=4.8995 b=4.8995 c=12.2164 alpha=90.00 beta=90.00 gamma=90.00
Closest atoms and distances in Å follow each position.
Fractional coordinates of all 11 atoms:
Na: 0.0000 0.0000 0.1811  12 In 3.29-3.46
Na: 0.0000 0.0000 0.8189  12 In 3.29-3.46
Mg: 0.0000 0.0000 0.5000  8 In 2.98
In: 0.0000 0.5000 0.0000  4 Na 3.30, 8 In 3.31-3.46
In: 0.0000 0.5000 0.3605  2 Mg 2.98, 2 In 3.28, 2 Na 3.29
In: 0.0000 0.5000 0.6395  2 Mg 2.98, 2 In 3.28, 2 Na 3.29
In: 0.5000 0.0000 0.0000  4 Na 3.30, 8 In 3.31-3.46
In: 0.5000 0.0000 0.3605  2 Mg 2.98, 2 In 3.28, 2 Na 3.29
In: 0.5000 0.0000 0.6395  2 Mg 2.98, 2 In 3.28, 2 Na 3.29
In: 0.5000 0.5000 0.1818  8 In 3.28-3.31, 4 Na 3.46
In: 0.5000 0.5000 0.8182  8 In 3.28-3.31, 4 Na 3.46

Properties
Polymorph energy (0 for the lowest one) = 0.11 eV per formula unit
Symmetry = P4/mmm, No. 123
Crystal system = tetragonal
ΔE_f = -0.056 eV/atom

=====

First-principles (PBE) data for NaMg3In6 after structural relaxation, as listed in Alexandria.

Unit cell a=8.3258 b=8.3258 c=8.2463 alpha=90.00 beta=90.00 gamma=115.66
Closest atoms and distances in Å follow each position.
Fractional coordinates of all 20 atoms:
Na: 0.2040 0.7960 0.5000  6 In 3.23-3.27, 4 Mg 3.55-3.59
Na: 0.7960 0.2040 0.0000  6 In 3.23-3.27, 4 Mg 3.55-3.59
Mg: 0.0308 0.3388 0.6274  6 In 3.07-3.28, 2 Mg 3.19-3.28
Mg: 0.3388 0.0308 0.1274  6 In 3.07-3.28, 2 Mg 3.19-3.28
Mg: 0.4526 0.5474 0.6613  7 In 3.01-3.31, 2 Mg 3.19
Mg: 0.5474 0.4526 0.1613  7 In 3.01-3.31, 2 Mg 3.19
Mg: 0.6612 0.9692 0.6274  6 In 3.07-3.28, 2 Mg 3.19-3.28
Mg: 0.9692 0.6612 0.1274  6 In 3.07-3.28, 2 Mg 3.19-3.28
In: 0.0227 0.9773 0.7438  6 In 3.09-3.41, 2 Mg 3.13, 1 Na 3.25
In: 0.1718 0.4646 0.2760  4 In 3.06-3.33, 3 Mg 3.07-3.31, 1 Na 3.23
In: 0.2205 0.3163 0.9501  4 Mg 3.01-3.28, 4 In 3.06-3.32, 1 Na 3.27
In: 0.2717 0.7283 0.8787  3 Mg 3.11-3.12, 1 Na 3.27, 4 In 3.32-3.43
In: 0.3163 0.2205 0.4501  4 Mg 3.01-3.28, 4 In 3.06-3.32, 1 Na 3.27
In: 0.4646 0.1718 0.7760  4 In 3.06-3.33, 3 Mg 3.07-3.31, 1 Na 3.23
In: 0.5354 0.8282 0.2760  4 In 3.06-3.33, 3 Mg 3.07-3.31, 1 Na 3.23
In: 0.6837 0.7795 0.9501  4 Mg 3.01-3.28, 4 In 3.06-3.32, 1 Na 3.27
In: 0.7283 0.2717 0.3787  3 Mg 3.11-3.12, 1 Na 3.27, 4 In 3.32-3.43
In: 0.7795 0.6837 0.4501  4 Mg 3.01-3.28, 4 In 3.06-3.32, 1 Na 3.27
In: 0.8282 0.5354 0.7760  4 In 3.06-3.33, 3 Mg 3.07-3.31, 1 Na 3.23
In: 0.9773 0.0227 0.2438  6 In 3.09-3.41, 2 Mg 3.13, 1 Na 3.25

Properties
Polymorph energy (0 for the lowest one) = 0.13 eV per formula unit
Symmetry = Cmc2_1, No. 36
Crystal system = orthorhombic
ΔE_f = -0.025 eV/atom

=====

First-principles (PBE) data for NaMgIn after structural relaxation, as listed in Alexandria.

Unit cell a=4.9683 b=4.9683 c=8.3617 alpha=107.29 beta=107.29 gamma=60.22
Closest atoms and distances in Å follow each position.
Fractional coordinates of all 6 atoms:
Na: 0.2080 0.2080 0.1211  4 In 3.22-3.36, 3 Na 3.44-3.45, 1 Mg 3.60
Na: 0.7920 0.7920 0.8789  4 In 3.22-3.36, 3 Na 3.44-3.45, 1 Mg 3.60
Mg: 0.3594 0.3594 0.5794  3 In 3.01, 3 Mg 3.13
Mg: 0.6406 0.6406 0.4206  3 In 3.01, 3 Mg 3.13
In: 0.0639 0.0639 0.6938  3 Mg 3.01, 1 In 3.04, 4 Na 3.22-3.36
In: 0.9361 0.9361 0.3062  3 Mg 3.01, 1 In 3.04, 4 Na 3.22-3.36

Properties
Polymorph energy (0 for the lowest one) = 0.01 eV per formula unit
Symmetry = C2/m, No. 12
Crystal system = monoclinic
ΔE_f = -0.054 eV/atom